Entry w
Below is a relaxed TcPSCl2 crystal, with properties calculated at the PBE level.

Unit cell a=4.5872 b=4.5872 c=5.0709 alpha=90.00 beta=90.00 gamma=90.00
Fractional coordinates of all 5 atoms:
Tc 0.0000 0.0000 0.0000
P 0.5000 0.5000 0.0000
S 0.5000 0.5000 0.5000
Cl 0.0000 0.5000 0.5000
Cl 0.5000 0.0000 0.5000

Computed properties:
The total moment comes out at 4.3 μB per formula unit.

Entry x
Below is a relaxed TcPSCl2 crystal, with properties calculated at the PBE level.

Unit cell a=4.9311 b=4.9311 c=4.5114 alpha=90.00 beta=90.00 gamma=90.00
Fractional coordinates of all 5 atoms:
Tc 0.0000 0.0000 0.0000
P 0.5000 0.5000 0.5000
S 0.0000 0.0000 0.5000
Cl 0.0000 0.5000 0.0000
Cl 0.5000 0.0000 0.0000

Computed properties:
The total moment comes out at 1.4 μB per formula unit.

Energy above the most stable structure, in eV/atom: entry w 0.596; entry x 0.000

Entry w
Below is a relaxed TcPSCl2 crystal, with properties calculated at the PBE level.

Unit cell a=4.6265 b=4.6265 c=4.7714 alpha=90.00 beta=90.00 gamma=90.00
Fractional coordinates of all 5 atoms:
Tc 0.0000 0.0000 0.0000
P 0.0000 0.0000 0.5000
S 0.5000 0.5000 0.5000
Cl 0.0000 0.5000 0.0000
Cl 0.5000 0.0000 0.0000

Computed properties:
The total moment comes out at 0.0 μB per formula unit.

Entry x
Below is a relaxed TcPSCl2 crystal, with properties calculated at the PBE level.

Unit cell a=4.7198 b=4.7198 c=4.7914 alpha=90.00 beta=90.00 gamma=90.00
Fractional coordinates of all 5 atoms:
Tc 0.0000 0.0000 0.0000
P 0.5000 0.5000 0.5000
S 0.5000 0.5000 0.0000
Cl 0.0000 0.5000 0.5000
Cl 0.5000 0.0000 0.5000

Computed properties:
The total moment comes out at 4.8 μB per formula unit.

Energy above the most stable structure, in eV/atom: entry w 0.000; entry x 0.229

Entry w
Below is a relaxed TcP2SCl crystal, with properties calculated at the PBE level.

Unit cell a=4.4820 b=4.4820 c=4.6793 alpha=90.00 beta=90.00 gamma=90.00
Fractional coordinates of all 5 atoms:
Tc 0.0000 0.0000 0.0000
P 0.0000 0.5000 0.5000
P 0.5000 0.0000 0.5000
S 0.5000 0.5000 0.0000
Cl 0.5000 0.5000 0.5000

Computed properties:
The total moment comes out at 2.6 μB per formula unit.

Entry x
Below is a relaxed TcP2SCl crystal, with properties calculated at the PBE level.

Unit cell a=4.6229 b=4.6229 c=4.6534 alpha=90.00 beta=90.00 gamma=90.00
Fractional coordinates of all 5 atoms:
Tc 0.0000 0.0000 0.0000
P 0.0000 0.5000 0.0000
P 0.5000 0.0000 0.0000
S 0.5000 0.5000 0.5000
Cl 0.0000 0.0000 0.5000

Computed properties:
The total moment comes out at 0.0 μB per formula unit.

Energy above the most stable structure, in eV/atom: entry w 1.041; entry x 0.000

Entry w
Below is a relaxed TcP2SCl crystal, with properties calculated at the PBE level.

Unit cell a=4.6359 b=4.6359 c=4.3955 alpha=90.00 beta=90.00 gamma=90.00
Fractional coordinates of all 5 atoms:
Tc 0.0000 0.0000 0.0000
P 0.0000 0.5000 0.5000
P 0.5000 0.0000 0.5000
S 0.5000 0.5000 0.5000
Cl 0.5000 0.5000 0.0000

Computed properties:
The total moment comes out at 3.2 μB per formula unit.

Entry x
Below is a relaxed TcP2SCl crystal, with properties calculated at the PBE level.

Unit cell a=4.6853 b=4.6853 c=4.5302 alpha=90.00 beta=90.00 gamma=90.00
Fractional coordinates of all 5 atoms:
Tc 0.0000 0.0000 0.0000
P 0.0000 0.5000 0.0000
P 0.5000 0.0000 0.0000
S 0.0000 0.0000 0.5000
Cl 0.5000 0.5000 0.5000

Computed properties:
The total moment comes out at 0.0 μB per formula unit.

Energy above the most stable structure, in eV/atom: entry w 0.852; entry x 0.000

Entry w
Below is a relaxed TePS2Cl crystal, with properties calculated at the PBE level.

Unit cell a=4.7157 b=4.7157 c=4.5749 alpha=90.00 beta=90.00 gamma=90.00
Fractional coordinates of all 5 atoms:
Te 0.0000 0.0000 0.0000
P 0.5000 0.5000 0.5000
S 0.0000 0.5000 0.5000
S 0.5000 0.0000 0.5000
Cl 0.5000 0.5000 0.0000

Computed properties:
The total moment comes out at 0.0 μB per formula unit.

Entry x
Below is a relaxed TePS2Cl crystal, with properties calculated at the PBE level.

Unit cell a=4.6661 b=4.6661 c=4.8494 alpha=90.00 beta=90.00 gamma=90.00
Fractional coordinates of all 5 atoms:
Te 0.0000 0.0000 0.0000
P 0.5000 0.5000 0.0000
S 0.0000 0.5000 0.5000
S 0.5000 0.0000 0.5000
Cl 0.5000 0.5000 0.5000

Computed properties:
The total moment comes out at 0.0 μB per formula unit.

Energy above the most stable structure, in eV/atom: entry w 0.000; entry x 0.805

Entry w
Below is a relaxed TiP2SCl crystal, with properties calculated at the PBE level.

Unit cell a=4.8279 b=4.8279 c=4.5158 alpha=90.00 beta=90.00 gamma=90.00
Fractional coordinates of all 5 atoms:
Ti 0.0000 0.0000 0.0000
P 0.0000 0.5000 0.0000
P 0.5000 0.0000 0.0000
S 0.5000 0.5000 0.5000
Cl 0.0000 0.0000 0.5000

Computed properties:
The total moment comes out at 0.0 μB per formula unit.

Entry x
Below is a relaxed TiP2SCl crystal, with properties calculated at the PBE level.

Unit cell a=4.8019 b=4.8019 c=4.5552 alpha=90.00 beta=90.00 gamma=90.00
Fractional coordinates of all 5 atoms:
Ti 0.0000 0.0000 0.0000
P 0.0000 0.5000 0.0000
P 0.5000 0.0000 0.0000
S 0.0000 0.0000 0.5000
Cl 0.5000 0.5000 0.5000

Computed properties:
The total moment comes out at 0.0 μB per formula unit.

Energy above the most stable structure, in eV/atom: entry w 0.141; entry x 0.000

Entry w
Below is a relaxed TiP2SCl crystal, with properties calculated at the PBE level.

Unit cell a=4.4925 b=4.4925 c=4.6097 alpha=90.00 beta=90.00 gamma=90.00
Fractional coordinates of all 5 atoms:
Ti 0.0000 0.0000 0.0000
P 0.0000 0.5000 0.5000
P 0.5000 0.0000 0.5000
S 0.5000 0.5000 0.5000
Cl 0.5000 0.5000 0.0000

Computed properties:
The total moment comes out at 0.1 μB per formula unit.

Entry x
Below is a relaxed TiP2SCl crystal, with properties calculated at the PBE level.

Unit cell a=4.4537 b=4.4537 c=4.6746 alpha=90.00 beta=90.00 gamma=90.00
Fractional coordinates of all 5 atoms:
Ti 0.0000 0.0000 0.0000
P 0.0000 0.5000 0.5000
P 0.5000 0.0000 0.5000
S 0.5000 0.5000 0.0000
Cl 0.5000 0.5000 0.5000

Computed properties:
The total moment comes out at 0.0 μB per formula unit.

Energy above the most stable structure, in eV/atom: entry w 0.000; entry x 0.303

Entry w
Below is a relaxed TlP2SCl crystal, with properties calculated at the PBE level.

Unit cell a=5.2598 b=5.2598 c=5.1334 alpha=90.00 beta=90.00 gamma=90.00
Fractional coordinates of all 5 atoms:
Tl 0.0000 0.0000 0.0000
P 0.0000 0.5000 0.0000
P 0.5000 0.0000 0.0000
S 0.5000 0.5000 0.5000
Cl 0.0000 0.0000 0.5000

Computed properties:
The total moment comes out at 0.9 μB per formula unit.

Entry x
Below is a relaxed TlP2SCl crystal, with properties calculated at the PBE level.

Unit cell a=4.7365 b=4.7365 c=5.1408 alpha=90.00 beta=90.00 gamma=90.00
Fractional coordinates of all 5 atoms:
Tl 0.0000 0.0000 0.0000
P 0.0000 0.5000 0.5000
P 0.5000 0.0000 0.5000
S 0.5000 0.5000 0.0000
Cl 0.5000 0.5000 0.5000

Computed properties:
The total moment comes out at 0.7 μB per formula unit.

Energy above the most stable structure, in eV/atom: entry w 0.203; entry x 0.000